Record 1
First-principles (PBE-GGA) data for a relaxed Hf6Al16Co7 crystal, as listed in the Open Quantum Materials Database.

Output
Total DFT energy (no corrections) (eV per atom): -6.391
Symmetry: Fm-3m (225)
Total moment (μB/f.u.): 2.8
V (Å³/f.u.): 428.2

Lattice parameters (Å, degrees): 8.461 8.461 8.461 60.00 60.00 60.00
Element x y z (fractional)
Hf 0.192 0.192 0.808
Hf 0.192 0.808 0.192
Hf 0.192 0.808 0.808
Hf 0.808 0.192 0.192
Hf 0.808 0.192 0.808
Hf 0.808 0.808 0.192
Al 0.145 0.618 0.618
Al 0.165 0.165 0.165
Al 0.165 0.165 0.506
Al 0.165 0.506 0.165
Al 0.382 0.382 0.382
Al 0.382 0.382 0.855
Al 0.382 0.855 0.382
Al 0.494 0.835 0.835
Al 0.506 0.165 0.165
Al 0.618 0.145 0.618
Al 0.618 0.618 0.145
Al 0.618 0.618 0.618
Al 0.835 0.494 0.835
Al 0.835 0.835 0.494
Al 0.835 0.835 0.835
Al 0.855 0.382 0.382
Co 0.000 0.000 0.500
Co 0.000 0.500 0.000
Co 0.000 0.500 0.500
Co 0.500 0.000 0.000
Co 0.500 0.000 0.500
Co 0.500 0.500 0.000
Co 0.500 0.500 0.500

***

Record 2
First-principles (PBE-GGA) data for a relaxed TbTlO2 crystal, as listed in the Open Quantum Materials Database.

Output
Total DFT energy (no corrections) (eV per atom): -6.322
Symmetry: I4_1/amd (141)
Total moment (μB/f.u.): 0.0
V (Å³/f.u.): 67.0

Lattice parameters (Å, degrees): 6.517 6.517 6.517 135.53 135.53 64.70
Element x y z (fractional)
Tb 0.375 0.625 0.750
Tb 0.625 0.375 0.250
Tl 0.125 0.875 0.250
Tl 0.875 0.125 0.750
O 0.170 0.420 0.750
O 0.420 0.170 0.250
O 0.580 0.830 0.750
O 0.830 0.580 0.250

***

Record 3
First-principles (PBE-GGA) data for a relaxed GaAg2WS6 crystal, as listed in the Open Quantum Materials Database.

Output
Total DFT energy (no corrections) (eV per atom): -4.375
Symmetry: Fm-3m (225)
Total moment (μB/f.u.): 0.0
V (Å³/f.u.): 212.6

Lattice parameters (Å, degrees): 6.700 6.700 6.700 60.00 60.00 60.00
Element x y z (fractional)
Ga 0.000 0.000 0.000
Ag 0.250 0.250 0.250
Ag 0.750 0.750 0.750
W 0.500 0.500 0.500
S 0.251 0.251 0.749
S 0.251 0.749 0.251
S 0.251 0.749 0.749
S 0.749 0.251 0.251
S 0.749 0.251 0.749
S 0.749 0.749 0.251

***

Record 4
First-principles (PBE-GGA) data for a relaxed ReAg2Sn crystal, as listed in the Open Quantum Materials Database.

Output
Total DFT energy (no corrections) (eV per atom): -4.910
Symmetry: F-43m (216)
Total moment (μB/f.u.): 0.4
V (Å³/f.u.): 70.7

Lattice parameters (Å, degrees): 4.641 4.641 4.641 60.00 60.00 60.00
Element x y z (fractional)
Re 0.000 0.000 0.000
Ag 0.250 0.250 0.250
Ag 0.500 0.500 0.500
Sn 0.750 0.750 0.750

***

Record 5
First-principles (PBE-GGA) data for a relaxed RbSrPt crystal, as listed in the Open Quantum Materials Database.

Output
Total DFT energy (no corrections) (eV per atom): -2.514
Symmetry: F-43m (216)
Total moment (μB/f.u.): 0.2
V (Å³/f.u.): 102.6

Lattice parameters (Å, degrees): 5.254 5.254 5.254 60.00 60.00 60.00
Element x y z (fractional)
Rb 0.000 0.000 0.000
Sr 0.250 0.250 0.250
Pt 0.750 0.750 0.750

***

Record 6
First-principles (PBE-GGA) data for a relaxed ErThOs crystal, as listed in the Open Quantum Materials Database.

Output
E_form (meV/atom): 704
Symmetry: F-43m (216)
Total moment (μB/f.u.): 0.0
V (Å³/f.u.): 77.9

Lattice parameters (Å, degrees): 4.795 4.795 4.795 60.00 60.00 60.00
Element x y z (fractional)
Er 0.000 0.000 0.000
Th 0.250 0.250 0.250
Os 0.500 0.500 0.500

***

Record 7
First-principles (PBE-GGA) data for a relaxed HfFeSbAu crystal, as listed in the Open Quantum Materials Database.

Output
Energy relative to the lowest polymorph listed for this composition (eV/f.u.): 0.00
Symmetry: F-43m (216)
Total moment (μB/f.u.): 2.0
V (Å³/f.u.): 71.1

Lattice parameters (Å, degrees): 4.650 4.650 4.650 60.00 60.00 60.00
Element x y z (fractional)
Hf 0.000 0.000 0.000
Fe 0.500 0.500 0.500
Sb 0.250 0.250 0.250
Au 0.750 0.750 0.750

***

Record 8
First-principles (PBE-GGA) data for a relaxed Rb2AgBr6 crystal, as listed in the Open Quantum Materials Database.

Output
Total DFT energy (no corrections) (eV per atom): -2.424
Symmetry: C2/m (12)
V (Å³/f.u.): 303.6

Lattice parameters (Å, degrees): 7.607 7.607 6.538 93.52 93.52 53.57
Element x y z (fractional)
Rb 0.173 0.173 0.262
Rb 0.827 0.827 0.738
Ag 0.500 0.500 0.500
Br 0.117 0.711 0.250
Br 0.289 0.883 0.750
Br 0.346 0.346 0.702
Br 0.654 0.654 0.298
Br 0.711 0.117 0.250
Br 0.883 0.289 0.750